Mg6NbFeO8 | PBE with a Hubbard U | optimized geometry

Values from the calculation:
ΔE to the lowest computed polymorph ... 33 meV per atom

a = 4.308 Å, b = 4.308 Å, c = 8.823 Å
α = 90.00°, β = 90.00°, γ = 90.00°
Space group P4/mmm (No. 123)
Inequivalent atoms, fractional coordinates:
Mg  0.000  0.000  0.000 x1
Mg  0.000  0.000  0.500 x1
Mg  0.000  0.500  0.236 x4
Nb  0.500  0.500  0.500 x1
Fe  0.500  0.500  0.000 x1
O  0.000  0.000  0.251 x2
O  0.000  0.500  0.000 x2
O  0.000  0.500  0.500 x2
O  0.500  0.500  0.256 x2